Entry 1:
A relaxed LiOsPd3 crystal. Source: Alexandria, functional PBE.

The space group is Pm-3m (No. 221) and the conventional cell measures 4.189, 4.189 and 4.189 Å, with angles of 90.00, 90.00 and 90.00 degrees. The distinct sites, in fractional coordinates, are Li at (0.000, 0.000, 0.000), Os at (0.500, 0.500, 0.500) and Pd at (0.000, 0.000, 0.500).

Its energy above the most stable polymorph in this dataset is 0 meV per atom. The density comes out at 11.667 g/cm3. The calculation puts the formation enthalpy at 0 K at 782.6 meV per atom. The raw total energy is -24.81 eV/cell.


Entry 2:
A relaxed SrOs2Br crystal. Source: Alexandria, functional PBE.

The space group is P2/m (No. 10) and the conventional cell measures 3.344, 5.925 and 4.437 Å, with angles of 90.00, 91.09 and 90.00 degrees. The distinct sites, in fractional coordinates, are Sr at (0.000, 0.000, 0.000), Os at (0.335, 0.500, 0.243) and Br at (0.500, 0.000, 0.500).

The value obtained for the formation energy from raw total energies is 662 meV/atom. Its energy above the most stable polymorph in this dataset is 587 meV per atom. The density comes out at 10.352 g/cm3. The raw total energy is -23.17 eV/cell.


Entry 3:
A relaxed Ta3As5 crystal. Source: Alexandria, functional PBE.

The space group is Cm (No. 8) and the conventional cell measures 6.345, 14.241 and 7.288 Å, with angles of 90.00, 115.58 and 90.00 degrees. The distinct sites, in fractional coordinates, are Ta at (0.000, 0.000, 0.000), Ta at (0.064, 0.500, 0.216), Ta at (0.291, 0.195, 0.642), Ta at (0.496, 0.237, 0.153), As at (0.074, 0.171, 0.875), As at (0.142, 0.384, 0.957), As at (0.248, 0.500, 0.609), As at (0.249, 0.000, 0.767), As at (0.282, 0.112, 0.314) and As at (0.352, 0.343, 0.426).

Its energy above the most stable polymorph in this dataset is 0 meV per atom. The density comes out at 10.260 g/cm3. The calculation puts the formation enthalpy at 0 K at -166.7 meV per atom. The raw total energy is -240.56 eV/cell.